# 1
Computed, not measured: KFe2TcSn after structural relaxation at the PBE level of DFT.

DOS at the Fermi energy in states/eV per cell: 5.0
V in Å³/cell: 129.4
Energy in eV per atom: -5.007

Cell and atoms, written as CIF:
```
data_KFe2TcSn
_chemical_formula_sum 'K1 Fe2 Tc1 Sn1'
_space_group_name_H-M_alt 'P 1'
_space_group_IT_number 1
_space_group_name_Hall 'P 1'
_cell_length_a 4.9866
_cell_length_b 4.9866
_cell_length_c 5.2051
_cell_angle_alpha 90.00
_cell_angle_beta 90.00
_cell_angle_gamma 90.00
loop_
_atom_site_label
_atom_site_type_symbol
_atom_site_fract_x
_atom_site_fract_y
_atom_site_fract_z
K1 K 0.0000 0.0000 0.0000
Fe1 Fe 0.0000 0.5000 0.5000
Fe2 Fe 0.5000 0.0000 0.5000
Tc1 Tc 0.5000 0.5000 0.0000
Sn1 Sn 0.5000 0.5000 0.5000
```

# 2
Computed, not measured: V12B5H3 after structural relaxation at the PBE level of DFT.

DOS at the Fermi energy in states/eV per cell: 76.4
V in Å³/cell: 921.5
Energy in eV per atom: -7.137

Cell and atoms, written as CIF:
```
data_V12B5H3
_chemical_formula_sum 'V48 B20 H12'
_space_group_name_H-M_alt 'P 1'
_space_group_IT_number 1
_space_group_name_Hall 'P 1'
_cell_length_a 10.6178
_cell_length_b 10.6178
_cell_length_c 10.6178
_cell_angle_alpha 109.47
_cell_angle_beta 109.47
_cell_angle_gamma 109.47
loop_
_atom_site_label
_atom_site_type_symbol
_atom_site_fract_x
_atom_site_fract_y
_atom_site_fract_z
V1 V 0.0533 0.2264 0.1181
V2 V 0.0533 0.3269 0.9352
V3 V 0.0648 0.6181 0.3917
V4 V 0.0648 0.9467 0.6731
V5 V 0.1083 0.7264 0.6731
V6 V 0.1083 0.8819 0.4352
V7 V 0.1181 0.0533 0.2264
V8 V 0.1181 0.5648 0.8917
V9 V 0.1731 0.2264 0.6083
V10 V 0.1731 0.4467 0.5648
V11 V 0.2264 0.1181 0.0533
V12 V 0.2264 0.6083 0.1731
V13 V 0.2736 0.3269 0.8917
V14 V 0.2736 0.4467 0.3819
V15 V 0.3269 0.8917 0.2736
V16 V 0.3269 0.9352 0.0533
V17 V 0.3819 0.2736 0.4467
V18 V 0.3819 0.6083 0.9352
V19 V 0.3917 0.0648 0.6181
V20 V 0.3917 0.8269 0.7736
V21 V 0.4352 0.1083 0.8819
V22 V 0.4352 0.8269 0.5533
V23 V 0.4467 0.3819 0.2736
V24 V 0.4467 0.5648 0.1731
V25 V 0.5533 0.4352 0.8269
V26 V 0.5533 0.6181 0.7264
V27 V 0.5648 0.1731 0.4467
V28 V 0.5648 0.8917 0.1181
V29 V 0.6083 0.1731 0.2264
V30 V 0.6083 0.9352 0.3819
V31 V 0.6181 0.3917 0.0648
V32 V 0.6181 0.7264 0.5533
V33 V 0.6731 0.0648 0.9467
V34 V 0.6731 0.1083 0.7264
V35 V 0.7264 0.5533 0.6181
V36 V 0.7264 0.6731 0.1083
V37 V 0.7736 0.3917 0.8269
V38 V 0.7736 0.8819 0.9467
V39 V 0.8269 0.5533 0.4352
V40 V 0.8269 0.7736 0.3917
V41 V 0.8819 0.4352 0.1083
V42 V 0.8819 0.9467 0.7736
V43 V 0.8917 0.1181 0.5648
V44 V 0.8917 0.2736 0.3269
V45 V 0.9352 0.0533 0.3269
V46 V 0.9352 0.3819 0.6083
V47 V 0.9467 0.6731 0.0648
V48 V 0.9467 0.7736 0.8819
B1 B 0.0000 0.0000 0.0000
B2 B 0.0000 0.0000 0.5000
B3 B 0.0000 0.5000 0.0000
B4 B 0.0000 0.5000 0.5000
B5 B 0.1250 0.7500 0.8750
B6 B 0.1250 0.8750 0.2500
B7 B 0.2500 0.1250 0.8750
B8 B 0.2500 0.6250 0.3750
B9 B 0.3750 0.2500 0.6250
B10 B 0.3750 0.6250 0.7500
B11 B 0.5000 0.0000 0.0000
B12 B 0.5000 0.0000 0.5000
B13 B 0.5000 0.5000 0.0000
B14 B 0.5000 0.5000 0.5000
B15 B 0.6250 0.3750 0.2500
B16 B 0.6250 0.7500 0.3750
B17 B 0.7500 0.3750 0.6250
B18 B 0.7500 0.8750 0.1250
B19 B 0.8750 0.1250 0.7500
B20 B 0.8750 0.2500 0.1250
H1 H 0.1250 0.2500 0.3750
H2 H 0.1250 0.3750 0.7500
H3 H 0.2500 0.3750 0.1250
H4 H 0.2500 0.8750 0.6250
H5 H 0.3750 0.1250 0.2500
H6 H 0.3750 0.7500 0.1250
H7 H 0.6250 0.2500 0.8750
H8 H 0.6250 0.8750 0.7500
H9 H 0.7500 0.1250 0.3750
H10 H 0.7500 0.6250 0.8750
H11 H 0.8750 0.6250 0.2500
H12 H 0.8750 0.7500 0.6250
```

# 3
Computed, not measured: SmGeAu2 after structural relaxation at the PBE level of DFT.

DOS at the Fermi energy in states/eV per cell: 3.5
V in Å³/cell: 174.4
Energy in eV per atom: -4.555

Cell and atoms, written as CIF:
```
data_SmGeAu2
_chemical_formula_sum 'Sm2 Ge2 Au4'
_space_group_name_H-M_alt 'P 1'
_space_group_IT_number 1
_space_group_name_Hall 'P 1'
_cell_length_a 4.0068
_cell_length_b 4.4886
_cell_length_c 9.8932
_cell_angle_alpha 90.00
_cell_angle_beta 101.42
_cell_angle_gamma 90.00
loop_
_atom_site_label
_atom_site_type_symbol
_atom_site_fract_x
_atom_site_fract_y
_atom_site_fract_z
Sm1 Sm 0.1081 0.2500 0.2112
Sm2 Sm 0.8919 0.7500 0.7888
Ge1 Ge 0.3280 0.2500 0.6622
Ge2 Ge 0.6720 0.7500 0.3378
Au1 Au 0.2609 0.7500 0.5209
Au2 Au 0.4593 0.2500 0.9223
Au3 Au 0.5407 0.7500 0.0777
Au4 Au 0.7391 0.2500 0.4791
```

# 4
Computed, not measured: ThTiAl2 after structural relaxation at the PBE level of DFT.

DOS at the Fermi energy in states/eV per cell: 4.3
V in Å³/cell: 85.5
Energy in eV per atom: -5.699

Cell and atoms, written as CIF:
```
data_ThTiAl2
_chemical_formula_sum 'Th1 Ti1 Al2'
_space_group_name_H-M_alt 'P 1'
_space_group_IT_number 1
_space_group_name_Hall 'P 1'
_cell_length_a 9.9481
_cell_length_b 9.9481
_cell_length_c 9.9481
_cell_angle_alpha 18.39
_cell_angle_beta 18.39
_cell_angle_gamma 18.39
loop_
_atom_site_label
_atom_site_type_symbol
_atom_site_fract_x
_atom_site_fract_y
_atom_site_fract_z
Th1 Th 0.0000 0.0000 0.0000
Ti1 Ti 0.5000 0.5000 0.5000
Al1 Al 0.2400 0.2400 0.2400
Al2 Al 0.7600 0.7600 0.7600
```

# 5
Computed, not measured: AgRhBr2 after structural relaxation at the PBE level of DFT.

DOS at the Fermi energy in states/eV per cell: 2.4
V in Å³/cell: 97.0
Energy in eV per atom: -3.178
Formation energy without anion corrections in eV per atom: 0.209

Cell and atoms, written as CIF:
```
data_AgRhBr2
_chemical_formula_sum 'Ag1 Rh1 Br2'
_space_group_name_H-M_alt 'P 1'
_space_group_IT_number 1
_space_group_name_Hall 'P 1'
_cell_length_a 3.6033
_cell_length_b 3.6033
_cell_length_c 7.8500
_cell_angle_alpha 90.00
_cell_angle_beta 90.00
_cell_angle_gamma 107.92
loop_
_atom_site_label
_atom_site_type_symbol
_atom_site_fract_x
_atom_site_fract_y
_atom_site_fract_z
Ag1 Ag 0.0000 0.0000 0.0000
Rh1 Rh 0.5000 0.5000 0.7757
Br1 Br 0.0000 0.0000 0.6113
Br2 Br 0.5000 0.5000 0.1932
```

# 6
Computed, not measured: TaGaCu after structural relaxation at the PBE level of DFT.

DOS at the Fermi energy in states/eV per cell: 1.8
V in Å³/cell: 45.0
Energy in eV per atom: -6.396

Cell and atoms, written as CIF:
```
data_TaGaCu
_chemical_formula_sum 'Ta1 Ga1 Cu1'
_space_group_name_H-M_alt 'P 1'
_space_group_IT_number 1
_space_group_name_Hall 'P 1'
_cell_length_a 5.7861
_cell_length_b 5.7861
_cell_length_c 5.7861
_cell_angle_alpha 151.15
_cell_angle_beta 151.15
_cell_angle_gamma 41.26
loop_
_atom_site_label
_atom_site_type_symbol
_atom_site_fract_x
_atom_site_fract_y
_atom_site_fract_z
Ta1 Ta 0.0000 0.0000 0.0000
Ga1 Ga 0.6827 0.6827 0.0000
Cu1 Cu 0.3279 0.3279 0.0000
```

# 7
Computed, not measured: TiSeSCl2 after structural relaxation at the PBE level of DFT.

DOS at the Fermi energy in states/eV per cell: 3.4
V in Å³/cell: 112.2
Energy in eV per atom: -4.285
Formation energy without anion corrections in eV per atom: -0.445

Cell and atoms, written as CIF:
```
data_TiSeSCl2
_chemical_formula_sum 'Ti1 Se1 S1 Cl2'
_space_group_name_H-M_alt 'P 1'
_space_group_IT_number 1
_space_group_name_Hall 'P 1'
_cell_length_a 4.8443
_cell_length_b 4.8443
_cell_length_c 4.7793
_cell_angle_alpha 90.00
_cell_angle_beta 90.00
_cell_angle_gamma 90.00
loop_
_atom_site_label
_atom_site_type_symbol
_atom_site_fract_x
_atom_site_fract_y
_atom_site_fract_z
Ti1 Ti 0.0000 0.0000 0.0000
Se1 Se 0.5000 0.5000 0.5000
S1 S 0.0000 0.0000 0.5000
Cl1 Cl 0.0000 0.5000 0.0000
Cl2 Cl 0.5000 0.0000 0.0000
```

# 8
Computed, not measured: PuThTlBi after structural relaxation at the PBE level of DFT.

DOS at the Fermi energy in states/eV per cell: 13.0
V in Å³/cell: 118.5
Energy in eV per atom: -7.148

Cell and atoms, written as CIF:
```
data_PuThTlBi
_chemical_formula_sum 'Pu1 Th1 Tl1 Bi1'
_space_group_name_H-M_alt 'P 1'
_space_group_IT_number 1
_space_group_name_Hall 'P 1'
_cell_length_a 5.5134
_cell_length_b 5.5134
_cell_length_c 5.5134
_cell_angle_alpha 60.00
_cell_angle_beta 60.00
_cell_angle_gamma 60.00
loop_
_atom_site_label
_atom_site_type_symbol
_atom_site_fract_x
_atom_site_fract_y
_atom_site_fract_z
Pu1 Pu 0.0000 0.0000 0.0000
Th1 Th 0.5000 0.5000 0.5000
Tl1 Tl 0.7500 0.7500 0.7500
Bi1 Bi 0.2500 0.2500 0.2500
```